Density functional theory data (GGA-PBE) for a relaxed structure of SrEuAgSn.

Values from the calculation:
E ... -0.38192 Ry/atom
Calculated density ... 6.4 Mg/m³

```
data_SrEuAgSn
_chemical_formula_sum 'Sr4 Eu4 Ag4 Sn4'
_cell_length_a 7.862
_cell_length_b 7.862
_cell_length_c 7.862
_cell_angle_alpha 90.00
_cell_angle_beta 90.00
_cell_angle_gamma 90.00
_space_group_name_H-M_alt 'F -4 3 m'
_space_group_IT_number 216
_space_group_name_Hall 'F -4 2 3'
loop_
_atom_site_label
_atom_site_fract_x
_atom_site_fract_y
_atom_site_fract_z
_atom_site_occupancy
Sr1 0.000 0.000 0.000 1
Eu1 0.000 0.000 0.500 1
Ag1 0.250 0.250 0.250 1
Sn1 0.250 0.250 0.750 1
```


Density functional theory data (GGA-PBE) for a relaxed structure of KZrBe2.

Values from the calculation:
E ... -0.27258 Ry/atom
Calculated density ... 3.1 Mg/m³
Energy above the most stable polymorph in this dataset ... 108 meV/atom

```
data_KZrBe2
_chemical_formula_sum 'K1 Zr1 Be2'
_cell_length_a 2.960
_cell_length_b 2.960
_cell_length_c 8.972
_cell_angle_alpha 90.00
_cell_angle_beta 90.00
_cell_angle_gamma 90.00
_space_group_name_H-M_alt 'P 4 m m'
_space_group_IT_number 99
loop_
_space_group_symop_operation_xyz
'x,y,z'
'-y,x,z'
'-x,-y,z'
'y,-x,z'
'-x,y,z'
'y,x,z'
'x,-y,z'
'-y,-x,z'
loop_
_atom_site_label
_atom_site_fract_x
_atom_site_fract_y
_atom_site_fract_z
_atom_site_occupancy
K1 0.000 0.000 0.000 1
Zr1 0.500 0.500 0.393 1
Be1 0.000 0.000 0.601 1
Be2 0.500 0.500 0.694 1
```


Density functional theory data (GGA-PBE) for a relaxed structure of BaBiPb2.

Values from the calculation:
E ... -0.26353 Ry/atom
Calculated density ... 8.1 Mg/m³

```
data_BaBiPb2
_chemical_formula_sum 'Ba4 Bi4 Pb8'
_cell_length_a 9.459
_cell_length_b 9.459
_cell_length_c 6.940
_cell_angle_alpha 90.00
_cell_angle_beta 90.00
_cell_angle_gamma 90.00
_space_group_name_H-M_alt 'I -4 2 d'
_space_group_IT_number 122
_space_group_name_Hall 'I -4 2bw'
loop_
_atom_site_label
_atom_site_fract_x
_atom_site_fract_y
_atom_site_fract_z
_atom_site_occupancy
Ba1 0.000 0.000 0.000 1
Bi1 0.000 0.000 0.500 1
Pb1 0.210 0.750 0.625 1
```


Density functional theory data (GGA-PBE) for a relaxed structure of K2NiIBr6.

Values from the calculation:
E ... -0.19942 Ry/atom
Calculated density ... 3.6 Mg/m³
Formation energy without anion corrections ... -757 meV/atom

```
data_K2NiIBr6
_chemical_formula_sum 'K4 Ni2 I2 Br12'
_cell_length_a 10.844
_cell_length_b 10.843
_cell_length_c 7.952
_cell_angle_alpha 90.00
_cell_angle_beta 132.89
_cell_angle_gamma 90.00
_space_group_name_H-M_alt 'C 1 2/m 1'
_space_group_IT_number 12
loop_
_space_group_symop_operation_xyz
'x,y,z'
'-x,-y,-z'
'-x,y,-z'
'x,-y,z'
'x+1/2,y+1/2,z'
'-x+1/2,-y+1/2,-z'
'-x+1/2,y+1/2,-z'
'x+1/2,-y+1/2,z'
loop_
_atom_site_label
_atom_site_fract_x
_atom_site_fract_y
_atom_site_fract_z
_atom_site_occupancy
K1 0.000 0.250 0.000 1
Ni1 0.000 0.000 0.500 1
I1 0.000 0.500 0.500 1
Br1 0.000 0.231 0.500 1
Br2 0.204 0.000 0.909 1
Br3 0.231 0.000 0.500 1
```